The following is a DFT calculation (PBE) of a geometry-optimized LiY2P structure.

Values from the calculation:
Formation energy from the elements ... -0.449 eV/atom
Space group ... No. 71
DFT total energy ... -22.05 eV for the cell shown
V ... 25.1 A^3/atom
Theoretical density ... 3.6 g/cm3

abc: 5.8613 5.8613 5.8613
angles: 141.13 126.24 68.30
Sites, in units of the cell vectors:
Li1 0.7500 0.2500 0.5000
P1 0.2500 0.7500 0.5000
Y1 0.0476 0.0476 0.0000
Y2 0.4524 0.4524 0.0000